## MnCoHIr2 (GGA-PBE)

Data for an optimized crystal structure of MnCoHIr2.

Cell and atoms, written as CIF:
```
data_MnCoHIr2
_chemical_formula_sum 'Mn1 Co1 H1 Ir2'
_cell_length_a 3.838
_cell_length_b 3.838
_cell_length_c 3.733
_cell_angle_alpha 90.00
_cell_angle_beta 90.00
_cell_angle_gamma 90.00
_space_group_name_H-M_alt 'P 4/m m m'
_space_group_IT_number 123
_space_group_name_Hall '-P 4 2'
loop_
_atom_site_label
_atom_site_type_symbol
_atom_site_fract_x
_atom_site_fract_y
_atom_site_fract_z
_atom_site_occupancy
Mn1 Mn 0.000 0.000 0.000 1
Co1 Co 0.500 0.500 0.000 1
H1 H 0.000 0.000 0.500 1
Ir1 Ir 0.000 0.500 0.500 1
```

- Energy relative to the lowest polymorph listed for this composition: 1.34 kcal/mol of atoms
- Total magnetization: 0.672 μB per atom
- Calculated density: 15.08 g/cm³
- Total DFT energy (no corrections): -37.08 eV per cell